Computed, not measured: LaZn2Sn after structural relaxation at the PBE level of DFT.

Output
- Spin magnetization: 0.0 μB/f.u.
- E: -3.2423 eV per atom
- Energy relative to the elements: -36.0 kJ per mole of atoms

Cell: 4.5639 4.5639 15.8075 Å, 90.00 90.00 120.00°
Space group R-3m (No. 166, hexagonal axes)
One atom of each set of equivalent atoms:
La (0.0000, 0.0000, 0.0000) [3 per cell]
Zn (0.0000, 0.0000, 0.2274) [6 per cell]
Sn (0.0000, 0.0000, 0.5000) [3 per cell]